Compound: LiSb3TeClO6
Source: the Alexandria database
Functional: PBE
Structure: relaxed

Lattice parameters (Å, degrees): 4.2353 9.8684 9.5407 118.38 90.28 98.37
With the nearest neighbours (Å) after each atom.
Element x y z (fractional)
Li1 0.0381 0.9581 0.4820  2 Cl 2.26-2.27
Sb1 0.2068 0.3740 0.8732  3 O 1.97-2.16
Sb2 0.1908 0.3640 0.4910  4 O 1.98-2.21
Sb3 0.7788 0.6316 0.4884  4 O 2.00-2.21
Te1 0.8362 0.6515 0.1430  3 O 1.96-2.09
Cl1 0.5695 0.0518 0.5317  2 Li 2.26-2.27
O1 0.7169 0.4367 0.9346  1 Te 2.09, 2 Sb 2.16-2.25
O2 0.2615 0.5927 0.0771  1 Te 1.99, 1 Sb 2.09
O3 0.2607 0.5703 0.4866  3 Sb 2.03-2.21
O4 0.7130 0.4293 0.4939  3 Sb 2.00-2.21
O5 0.7240 0.5230 0.2469  1 Te 1.96, 1 Sb 2.02
O6 0.2282 0.4632 0.7268  2 Sb 1.97-1.98

Properties
energy: -5.232 eV/atom
calculated density: 3.0 Mg/m³
distance to the lowest polymorph of the same formula: 0.000 eV/atom
formation energy without anion corrections: -1.147 eV/atom
symmetry: P1 (1)